# 1
# YEr2Hg2 | Alexandria | PBE-GGA | relaxed
# energy relative to the elements: -2.0 eV per formula unit
# D(E_F): 4.25 states/eV/f.u.
# crystal system: monoclinic
# relative energy among the computed polymorphs: 0 meV/atom
data_YEr2Hg2
_space_group_name_H-M_alt 'P 1 21/m 1'
_space_group_IT_number 11
_space_group_name_Hall '-P 2yb'
_cell_length_a 3.7242
_cell_length_b 5.2661
_cell_length_c 13.6587
_cell_angle_alpha 90.00
_cell_angle_beta 97.88
_cell_angle_gamma 90.00
loop_
_atom_site_label
_atom_site_type_symbol
_atom_site_fract_x
_atom_site_fract_y
_atom_site_fract_z
_atom_site_occupancy
Y1 Y 0.1467 0.2500 0.2926 1
Er1 Er 0.0472 0.7500 0.0951 1
Er2 Er 0.2354 0.7500 0.4712 1
Hg1 Hg 0.3560 0.2500 0.7117 1
Hg2 Hg 0.4536 0.7500 0.9066 1


# 2
# Y2ErHg2 | Alexandria | PBE-GGA | relaxed
# energy relative to the elements: -2.0 eV per formula unit
# D(E_F): 2.99 states/eV/f.u.
# crystal system: tetragonal
# relative energy among the computed polymorphs: 0 meV/atom
data_Y2ErHg2
_space_group_name_H-M_alt 'P 4/m b m'
_space_group_IT_number 127
_space_group_name_Hall '-P 4 2ab'
_cell_length_a 8.4229
_cell_length_b 8.4229
_cell_length_c 3.8626
_cell_angle_alpha 90.00
_cell_angle_beta 90.00
_cell_angle_gamma 90.00
loop_
_atom_site_label
_atom_site_type_symbol
_atom_site_fract_x
_atom_site_fract_y
_atom_site_fract_z
_atom_site_occupancy
Y1 Y 0.1668 0.3332 0.0000 1
Er1 Er 0.0000 0.0000 0.5000 1
Hg1 Hg 0.1329 0.6329 0.5000 1


# 3
# Y3ErHg6 | Alexandria | PBE-GGA | relaxed
# energy relative to the elements: -4.4 eV per formula unit
# D(E_F): 6.59 states/eV/f.u.
# crystal system: monoclinic
data_Y3ErHg6
_space_group_name_H-M_alt 'P 1 21/m 1'
_space_group_IT_number 11
_space_group_name_Hall '-P 2yb'
_cell_length_a 9.1487
_cell_length_b 5.1464
_cell_length_c 11.1129
_cell_angle_alpha 90.00
_cell_angle_beta 106.75
_cell_angle_gamma 90.00
loop_
_atom_site_label
_atom_site_type_symbol
_atom_site_fract_x
_atom_site_fract_y
_atom_site_fract_z
_atom_site_occupancy
Y1 Y 0.0175 0.2500 0.3870 1
Y2 Y 0.1473 0.7500 0.2038 1
Y3 Y 0.2711 0.2500 0.9917 1
Er1 Er 0.4394 0.2500 0.6072 1
Hg1 Hg 0.0350 0.7500 0.9104 1
Hg2 Hg 0.1547 0.2500 0.6995 1
Hg3 Hg 0.2593 0.7500 0.4930 1
Hg4 Hg 0.3426 0.2500 0.3128 1
Hg5 Hg 0.3583 0.7500 0.8051 1
Hg6 Hg 0.4376 0.7500 0.1074 1


# 4
# Y3Er2Hg7 | Alexandria | PBE-GGA | relaxed
# energy relative to the elements: -3.8 eV per formula unit
# D(E_F): 7.50 states/eV/f.u.
# crystal system: orthorhombic
data_Y3Er2Hg7
_space_group_name_H-M_alt 'C m m m'
_space_group_IT_number 65
_space_group_name_Hall '-C 2 2'
_cell_length_a 5.1597
_cell_length_b 22.7768
_cell_length_c 5.4439
_cell_angle_alpha 90.00
_cell_angle_beta 90.00
_cell_angle_gamma 90.00
loop_
_atom_site_label
_atom_site_type_symbol
_atom_site_fract_x
_atom_site_fract_y
_atom_site_fract_z
_atom_site_occupancy
Y1 Y 0.0000 0.0000 0.0000 1
Y2 Y 0.0000 0.1669 0.0000 1
Er1 Er 0.0000 0.3560 0.5000 1
Hg1 Hg 0.0000 0.0759 0.5000 1
Hg2 Hg 0.0000 0.2223 0.5000 1
Hg3 Hg 0.0000 0.4147 0.0000 1
Hg4 Hg 0.0000 0.5000 0.5000 1


# 5
# YEr4Hg5 | Alexandria | PBE-GGA | relaxed
# energy relative to the elements: -4.9 eV per formula unit
# D(E_F): 7.85 states/eV/f.u.
# crystal system: tetragonal
data_YEr4Hg5
_space_group_name_H-M_alt 'P 4/m m m'
_space_group_IT_number 123
_space_group_name_Hall '-P 4 2'
_cell_length_a 3.6959
_cell_length_b 3.6959
_cell_length_c 18.5164
_cell_angle_alpha 90.00
_cell_angle_beta 90.00
_cell_angle_gamma 90.00
loop_
_atom_site_label
_atom_site_type_symbol
_atom_site_fract_x
_atom_site_fract_y
_atom_site_fract_z
_atom_site_occupancy
Y1 Y 0.0000 0.0000 0.0000 1
Er1 Er 0.0000 0.0000 0.2013 1
Er2 Er 0.0000 0.0000 0.4004 1
Hg1 Hg 0.5000 0.5000 0.1026 1
Hg2 Hg 0.5000 0.5000 0.3007 1
Hg3 Hg 0.5000 0.5000 0.5000 1


# 6
# Y9Er4Hg11 | Alexandria | PBE-GGA | relaxed
# energy relative to the elements: -9.3 eV per formula unit
# D(E_F): 22.47 states/eV/f.u.
# crystal system: orthorhombic
data_Y9Er4Hg11
_space_group_name_H-M_alt 'C m m m'
_space_group_IT_number 65
_space_group_name_Hall '-C 2 2'
_cell_length_a 15.7242
_cell_length_b 22.4726
_cell_length_c 3.5533
_cell_angle_alpha 90.00
_cell_angle_beta 90.00
_cell_angle_gamma 90.00
loop_
_atom_site_label
_atom_site_type_symbol
_atom_site_fract_x
_atom_site_fract_y
_atom_site_fract_z
_atom_site_occupancy
Y1 Y 0.0000 0.0000 0.0000 1
Y2 Y 0.1150 0.2382 0.0000 1
Y3 Y 0.1160 0.4118 0.0000 1
Er1 Er 0.1601 0.0878 0.0000 1
Hg1 Hg 0.0000 0.1300 0.5000 1
Hg2 Hg 0.0000 0.3249 0.5000 1
Hg3 Hg 0.0000 0.5000 0.5000 1
Hg4 Hg 0.2327 0.5000 0.5000 1
Hg5 Hg 0.2354 0.3223 0.5000 1


# 7
# Y2ErHg2 | Alexandria | PBE-GGA | relaxed
# energy relative to the elements: -2.0 eV per formula unit
# D(E_F): 4.57 states/eV/f.u.
# crystal system: monoclinic
# relative energy among the computed polymorphs: 11 meV/atom
data_Y2ErHg2
_space_group_name_H-M_alt 'P 1 21/m 1'
_space_group_IT_number 11
_space_group_name_Hall '-P 2yb'
_cell_length_a 3.7590
_cell_length_b 5.2687
_cell_length_c 13.6917
_cell_angle_alpha 90.00
_cell_angle_beta 97.94
_cell_angle_gamma 90.00
loop_
_atom_site_label
_atom_site_type_symbol
_atom_site_fract_x
_atom_site_fract_y
_atom_site_fract_z
_atom_site_occupancy
Y1 Y 0.0468 0.2500 0.0946 1
Y2 Y 0.2351 0.2500 0.4707 1
Er1 Er 0.1459 0.7500 0.2919 1
Hg1 Hg 0.3564 0.7500 0.7122 1
Hg2 Hg 0.4516 0.2500 0.9023 1


# 8
# YEr3Hg2 | Alexandria | PBE-GGA | relaxed
# energy relative to the elements: -0.6 eV per formula unit
# D(E_F): 4.69 states/eV/f.u.
# crystal system: orthorhombic
# relative energy among the computed polymorphs: 268 meV/atom
data_YEr3Hg2
_space_group_name_H-M_alt 'I b a m'
_space_group_IT_number 72
_space_group_name_Hall '-I 2 2c'
_cell_length_a 7.0294
_cell_length_b 14.3700
_cell_length_c 7.4275
_cell_angle_alpha 90.00
_cell_angle_beta 90.00
_cell_angle_gamma 90.00
loop_
_atom_site_label
_atom_site_type_symbol
_atom_site_fract_x
_atom_site_fract_y
_atom_site_fract_z
_atom_site_occupancy
Y1 Y 0.0000 0.0000 0.0000 1
Er1 Er 0.0000 0.2284 0.2500 1
Er2 Er 0.0000 0.5000 0.2500 1
Hg1 Hg 0.1979 0.3594 0.0000 1


# 9
# Y3Er2Hg4 | Alexandria | PBE-GGA | relaxed
# energy relative to the elements: -2.8 eV per formula unit
# D(E_F): 7.65 states/eV/f.u.
# crystal system: orthorhombic
data_Y3Er2Hg4
_space_group_name_H-M_alt 'C m c e'
_space_group_IT_number 64
_space_group_name_Hall '-C 2ac 2'
_cell_length_a 6.9571
_cell_length_b 18.1699
_cell_length_c 7.8971
_cell_angle_alpha 90.00
_cell_angle_beta 90.00
_cell_angle_gamma 90.00
loop_
_atom_site_label
_atom_site_type_symbol
_atom_site_fract_x
_atom_site_fract_y
_atom_site_fract_z
_atom_site_occupancy
Y1 Y 0.0000 0.0000 0.0000 1
Y2 Y 0.2500 0.2390 0.2500 1
Er1 Er 0.0000 0.0941 0.5856 1
Hg1 Hg 0.0000 0.1641 0.9649 1
Hg2 Hg 0.2500 0.0689 0.2500 1


# 10
# Y3Er2Hg2 | Alexandria | PBE-GGA | relaxed
# energy relative to the elements: -1.7 eV per formula unit
# D(E_F): 7.80 states/eV/f.u.
# crystal system: trigonal
data_Y3Er2Hg2
_space_group_name_H-M_alt 'R -3 m'
_space_group_IT_number 166
_space_group_name_Hall '-R 3 2"'
_cell_length_a 5.3400
_cell_length_b 5.3400
_cell_length_c 23.7013
_cell_angle_alpha 90.00
_cell_angle_beta 90.00
_cell_angle_gamma 120.00
loop_
_atom_site_label
_atom_site_type_symbol
_atom_site_fract_x
_atom_site_fract_y
_atom_site_fract_z
_atom_site_occupancy
Y1 Y 0.0000 0.0000 0.0000 1
Y2 Y 0.0000 0.0000 0.1580 1
Er1 Er 0.0000 0.0000 0.4250 1
Hg1 Hg 0.0000 0.0000 0.2866 1


# 11
# YErZnHg | Alexandria | PBE-GGA | relaxed
# energy relative to the elements: -1.7 eV per formula unit
# D(E_F): 3.51 states/eV/f.u.
# crystal system: tetragonal
# relative energy among the computed polymorphs: 0 meV/atom
data_YErZnHg
_space_group_name_H-M_alt 'P 4 m m'
_space_group_IT_number 99
_space_group_name_Hall 'P 4 -2'
_cell_length_a 3.6015
_cell_length_b 3.6015
_cell_length_c 7.3841
_cell_angle_alpha 90.00
_cell_angle_beta 90.00
_cell_angle_gamma 90.00
loop_
_atom_site_label
_atom_site_type_symbol
_atom_site_fract_x
_atom_site_fract_y
_atom_site_fract_z
_atom_site_occupancy
Y1 Y 0.0000 0.0000 0.0000 1
Er1 Er 0.0000 0.0000 0.4687 1
Zn1 Zn 0.5000 0.5000 0.2397 1
Hg1 Hg 0.5000 0.5000 0.7276 1


# 12
# YErZnHg | Alexandria | PBE-GGA | relaxed
# energy relative to the elements: -1.6 eV per formula unit
# D(E_F): 3.81 states/eV/f.u.
# crystal system: cubic
# relative energy among the computed polymorphs: 17 meV/atom
data_YErZnHg
_space_group_name_H-M_alt 'F -4 3 m'
_space_group_IT_number 216
_space_group_name_Hall 'F -4 2 3'
_cell_length_a 7.2877
_cell_length_b 7.2877
_cell_length_c 7.2877
_cell_angle_alpha 90.00
_cell_angle_beta 90.00
_cell_angle_gamma 90.00
loop_
_atom_site_label
_atom_site_type_symbol
_atom_site_fract_x
_atom_site_fract_y
_atom_site_fract_z
_atom_site_occupancy
Y1 Y 0.0000 0.0000 0.0000 1
Er1 Er 0.0000 0.0000 0.5000 1
Zn1 Zn 0.2500 0.2500 0.2500 1
Hg1 Hg 0.2500 0.2500 0.7500 1